Below is NdRhO3 at its PBEsol-relaxed geometry, with properties calculated at the meta-GGA SCAN level.

The structure in CIF format:
```
data_NdRhO3
_cell_length_a 5.830
_cell_length_b 7.721
_cell_length_c 5.290
_cell_angle_alpha 90.00
_cell_angle_beta 90.00
_cell_angle_gamma 90.00
_symmetry_space_group_name_H-M 'P n m a'
_symmetry_Int_Tables_number 62
loop_
_symmetry_equiv_pos_as_xyz
'x,y,z'
'-x,-y,-z'
'-x+1/2,-y,z+1/2'
'x+1/2,y,-z+1/2'
'x+1/2,-y+1/2,-z+1/2'
'-x+1/2,y+1/2,z+1/2'
'-x,y+1/2,-z'
'x,-y+1/2,z'
loop_
_atom_site_label
_atom_site_type_symbol
_atom_site_fract_x
_atom_site_fract_y
_atom_site_fract_z
Nd1 Nd 0.080 0.250 0.028
Rh1 Rh 0.000 0.000 0.500
O1 O 0.034 0.750 0.389
O2 O 0.196 0.552 0.818
```

Crystal system: orthorhombic
VASP energy, eV per formula unit: -108.21
V, Å³/f.u.: 60